{
  "formula": "RbMgP2",
  "functional": "PBE",
  "state": "optimized geometry",
  "space_group": "I4_1/amd (141)",
  "formation_energy_ev_per_fu": -0.657,
  "n_ef_per_ev_cell": 2.52,
  "lattice": [[5.203, 0.000, 0.000], [0.000, 5.203, 0.000], [2.601, 2.601, 8.490]],
  "species": ["Mg", "Mg", "P", "P", "P", "P", "Rb", "Rb"],
  "frac_coords": [[0.500, 0.500, 0.000], [0.250, 0.750, 0.500], [0.875, 0.625, 0.750], [0.375, 0.125, 0.250], [0.375, 0.625, 0.250], [0.375, 0.625, 0.750], [0.750, 0.250, 0.500], [0.000, 0.000, 0.000]]
}



{
  "formula": "La2YErTm5",
  "functional": "PBE",
  "state": "optimized geometry",
  "space_group": "Cmc2_1 (36)",
  "formation_energy_ev_per_fu": 1.304,
  "n_ef_per_ev_cell": 23.37,
  "lattice": [[-0.276, 0.705, 5.561], [7.675, -6.550, -1.620], [6.841, 8.189, -0.699]],
  "species": ["Tm", "Tm", "Tm", "Tm", "Tm", "Tm", "Tm", "Tm", "Tm", "Tm", "La", "La", "La", "La", "Y", "Y", "Er", "Er"],
  "frac_coords": [[0.718, 0.436, 0.806], [0.983, 0.967, 0.526], [0.282, 0.564, 0.306], [0.480, 0.960, 0.739], [0.701, 0.402, 0.208], [0.611, 0.222, 0.521], [0.017, 0.033, 0.026], [0.389, 0.778, 0.021], [0.299, 0.598, 0.708], [0.520, 0.040, 0.239], [0.888, 0.775, 0.233], [0.885, 0.771, 0.818], [0.112, 0.225, 0.733], [0.115, 0.229, 0.318], [0.414, 0.828, 0.462], [0.586, 0.172, 0.962], [0.201, 0.403, 0.011], [0.799, 0.597, 0.511]]
}



{
  "formula": "Ta2ZnSiMo",
  "functional": "PBE",
  "state": "optimized geometry",
  "space_group": "P4/mmm (123)",
  "n_ef_per_ev_cell": 3.64,
  "raw_formation_energy_mev_per_atom": 1302,
  "lattice": [[4.754, 0.000, 0.000], [0.000, 4.061, 0.000], [0.000, 0.000, 4.754]],
  "species": ["Mo", "Si", "Ta", "Ta", "Zn"],
  "frac_coords": [[0.500, 0.500, 0.500], [0.000, 0.500, 0.000], [0.000, 0.000, 0.500], [0.500, 0.000, 0.000], [0.000, 0.000, 0.000]]
}



{
  "formula": "ZnAgB2Mo",
  "functional": "PBE",
  "state": "optimized geometry",
  "space_group": "P4/mmm (123)",
  "formation_energy_ev_per_fu": 9.570,
  "n_ef_per_ev_cell": 4.01,
  "lattice": [[-3.357, 1.624, 1.465], [-2.823, -4.285, -1.719], [0.644, -1.831, 3.506]],
  "species": ["B", "B", "Zn", "Ag", "Mo"],
  "frac_coords": [[0.000, 0.000, 0.500], [0.500, 0.000, 0.000], [0.500, 0.500, 0.500], [0.000, 0.000, 0.000], [0.000, 0.500, 0.000]]
}



{
  "formula": "V5Cr2Mo5",
  "functional": "PBE",
  "state": "optimized geometry",
  "space_group": "C2/m (12)",
  "formation_energy_ev_per_fu": -1.047,
  "n_ef_per_ev_cell": 7.52,
  "lattice": [[-0.214, 4.036, -1.442], [-3.738, 2.780, 1.951], [3.931, 4.829, 6.547]],
  "species": ["Mo", "Mo", "Mo", "Mo", "Mo", "V", "V", "V", "V", "V", "Cr", "Cr"],
  "frac_coords": [[0.585, 0.082, 0.748], [0.415, 0.918, 0.252], [0.669, 0.664, 0.999], [0.500, 0.500, 0.500], [0.331, 0.336, 0.001], [0.253, 0.748, 0.746], [0.837, 0.824, 0.501], [0.747, 0.252, 0.254], [0.000, 0.000, 0.000], [0.163, 0.176, 0.499], [0.920, 0.411, 0.749], [0.080, 0.589, 0.251]]
}



{
  "formula": "ZrCdRh",
  "functional": "PBE",
  "state": "optimized geometry",
  "space_group": "P6_3/mmc (194)",
  "formation_energy_ev_per_fu": -1.433,
  "n_ef_per_ev_cell": 4.84,
  "lattice": [[-0.396, 2.855, 3.860], [-3.576, -3.021, -1.137], [2.346, -3.974, 3.180]],
  "species": ["Rh", "Rh", "Zr", "Zr", "Cd", "Cd"],
  "frac_coords": [[0.333, 0.167, 0.750], [0.667, 0.833, 0.250], [0.667, 0.833, 0.750], [0.333, 0.167, 0.250], [0.000, 0.500, 0.500], [0.000, 0.500, 0.000]]
}